Computed, not measured: a PBEsol-optimized structure of Te2WSe at the meta-GGA SCAN level of DFT.

The structure in extended XYZ format:
```
4
Lattice="1.724 0.996 8.548 -1.724 0.996 8.548 0.000 -1.991 8.548" Properties=species:S:1:pos:R:3 pbc="T T T"
Te 0.000 0.000 6.158
Te 0.000 0.000 19.485
W 0.000 0.000 12.822
Se 0.000 0.000 0.000
```

Properties
**Total magnetic moment**: 0.000 μB/cell
**Uncorrected formation energy**: 370 meV per atom
**Fermi-level density of states**: 3.31 states/eV per cell



Computed, not measured: a PBEsol-optimized structure of Te2WSe at the meta-GGA SCAN level of DFT.

The structure in extended XYZ format:
```
4
Lattice="1.674 -2.550 0.000 1.674 2.550 0.000 0.000 0.000 10.289" Properties=species:S:1:pos:R:3 pbc="T T T"
Te 0.000 0.000 2.208
Te 0.000 0.000 8.081
W 1.674 0.000 0.000
Se 1.674 0.000 5.144
```

Properties
**Total magnetic moment**: 0.000 μB/cell
**Uncorrected formation energy**: 682 meV per atom
**Fermi-level density of states**: 3.16 states/eV per cell



Computed, not measured: a PBEsol-optimized structure of TeW2Se at the meta-GGA SCAN level of DFT.

The structure in extended XYZ format:
```
4
Lattice="2.723 -4.548 0.000 2.723 4.548 0.000 -1.906 0.000 2.954" Properties=species:S:1:pos:R:3 pbc="T T T"
Te 0.000 0.000 0.000
W 0.409 2.274 1.477
W 0.409 -2.274 1.477
Se 2.723 0.000 0.000
```

Properties
**Total magnetic moment**: 0.000 μB/cell
**Uncorrected formation energy**: 1132 meV per atom
**Polymorph energy (0 for the lowest one)**: 832.7 meV per atom
**Fermi-level density of states**: 3.40 states/eV per cell



Computed, not measured: a PBEsol-optimized structure of TeW2Se at the meta-GGA SCAN level of DFT.

The structure in extended XYZ format:
```
4
Lattice="-2.109 2.109 3.935 2.109 -2.109 3.935 2.109 2.109 -3.935" Properties=species:S:1:pos:R:3 pbc="T T T"
Te 0.000 0.000 0.000
W 0.000 0.000 3.935
W 0.000 2.109 1.967
Se 2.109 0.000 1.967
```

Properties
**Total magnetic moment**: 0.000 μB/cell
**Uncorrected formation energy**: 997 meV per atom
**Polymorph energy (0 for the lowest one)**: 698.1 meV per atom
**Fermi-level density of states**: 2.58 states/eV per cell



Computed, not measured: a PBEsol-optimized structure of TeW2Se at the meta-GGA SCAN level of DFT.

The structure in extended XYZ format:
```
4
Lattice="3.106 0.000 0.000 0.000 3.106 0.000 0.000 0.000 7.990" Properties=species:S:1:pos:R:3 pbc="T T T"
Te 0.000 0.000 0.000
W 0.000 0.000 3.545
W 1.553 1.553 1.711
Se 1.553 1.553 4.922
```

Properties
**Total magnetic moment**: 0.000 μB/cell
**Uncorrected formation energy**: 299 meV per atom
**Polymorph energy (0 for the lowest one)**: 0.0 meV per atom
**Fermi-level density of states**: 2.74 states/eV per cell



Computed, not measured: a PBEsol-optimized structure of TeW2Se at the meta-GGA SCAN level of DFT.

The structure in extended XYZ format:
```
4
Lattice="4.175 -1.568 0.000 4.175 1.568 0.000 -1.173 0.000 5.319" Properties=species:S:1:pos:R:3 pbc="T T T"
Te 0.000 0.000 0.000
W 1.228 0.000 3.816
W 5.948 0.000 1.503
Se 3.588 0.000 2.659
```

Properties
**Total magnetic moment**: 0.000 μB/cell
**Uncorrected formation energy**: 735 meV per atom
**Polymorph energy (0 for the lowest one)**: 435.8 meV per atom
**Fermi-level density of states**: 2.75 states/eV per cell